# 1
# Ge3HOs

A relaxed structure of Ge3HOs (GGA-PBE, the Alexandria database).

extended XYZ file:
```
5
Lattice="4.762 0.000 0.000 0.000 4.762 0.000 0.000 0.000 4.762" Properties=species:S:1:pos:R:3 pbc="T T T"
Ge 0.000 0.000 2.381
Ge 0.000 2.381 0.000
Ge 2.381 0.000 0.000
H 2.381 2.381 2.381
Os 0.000 0.000 0.000
```

**Excess energy over the best structure of this formula in the dataset**: 0 meV/atom
**Total magnetization**: 0.00 Bohr magnetons per cell
**Total DFT energy (no corrections)**: -25.17 eV for the cell shown
**Calculated volume**: 21.6 Å³/atom

# 2
# GeHOs3

A relaxed structure of GeHOs3 (GGA-PBE, the Alexandria database).

extended XYZ file:
```
5
Lattice="4.549 0.000 0.000 0.000 4.549 0.000 0.000 0.000 4.549" Properties=species:S:1:pos:R:3 pbc="T T T"
Ge 0.000 0.000 0.000
H 2.274 2.274 2.274
Os 0.000 0.000 2.274
Os 0.000 2.274 0.000
Os 2.274 0.000 0.000
```

**Excess energy over the best structure of this formula in the dataset**: 1991 meV/atom
**Total magnetization**: 2.49 Bohr magnetons per cell
**Total DFT energy (no corrections)**: -28.73 eV for the cell shown
**Calculated volume**: 18.8 Å³/atom

# 3
# RbGeH2Os

A relaxed structure of RbGeH2Os (GGA-PBE, the Alexandria database).

extended XYZ file:
```
5
Lattice="3.701 0.000 0.000 0.000 3.701 0.000 0.000 0.000 6.823" Properties=species:S:1:pos:R:3 pbc="T T T"
Rb 0.000 0.000 0.000
Ge 0.000 0.000 3.411
H 0.000 1.851 0.000
H 1.851 0.000 0.000
Os 1.851 1.851 3.411
```

**Total magnetization**: 0.86 Bohr magnetons per cell
**Total DFT energy (no corrections)**: -15.03 eV for the cell shown
**Calculated volume**: 18.7 Å³/atom

| no. | DOS at the Fermi energy (states/eV/f.u.) |
| --- | --- |
| 1 | 5.87 |
| 2 | 4.17 |
| 3 | 2.69 |